--- P ---
The following is a GGA-PBE calculation of a geometry-optimized NbSiP3 structure, from the Alexandria database.

The size of the total moment comes out at 0.00 Bohr magnetons per cell. For the density of states at the Fermi level, the calculation gives 6.94 states/eV/f.u. The density is 4.07 g/cm³. Its crystal system is cubic.

It has space group Pm-3m (No. 221), with a = 4.4374 Å, b = 4.4374 Å, c = 4.4374 Å, α = 90.00°, β = 90.00° and γ = 90.00°. Symmetry generates all atoms from Nb at (0.0000, 0.0000, 0.0000), Si at (0.5000, 0.5000, 0.5000) and P at (0.0000, 0.5000, 0.5000).

--- Q ---
The following is a GGA-PBE calculation of a geometry-optimized NbSiP3 structure, from the Alexandria database.

The size of the total moment comes out at 0.00 Bohr magnetons per cell. For the density of states at the Fermi level, the calculation gives 3.72 states/eV/f.u. The density is 3.18 g/cm³. Its crystal system is cubic.

It has space group Pm-3m (No. 221), with a = 4.8140 Å, b = 4.8140 Å, c = 4.8140 Å, α = 90.00°, β = 90.00° and γ = 90.00°. Symmetry generates all atoms from Nb at (0.0000, 0.0000, 0.0000), Si at (0.5000, 0.5000, 0.5000) and P at (0.0000, 0.0000, 0.5000).

Stability, lowest: P

--- P ---
The following is a GGA-PBE calculation of a geometry-optimized NbSn3P structure, from the Alexandria database.

The size of the total moment comes out at 0.00 Bohr magnetons per cell. For the density of states at the Fermi level, the calculation gives 7.28 states/eV/f.u. The density is 6.23 g/cm³. Its crystal system is cubic.

It has space group Pm-3m (No. 221), with a = 5.0398 Å, b = 5.0398 Å, c = 5.0398 Å, α = 90.00°, β = 90.00° and γ = 90.00°. Symmetry generates all atoms from Nb at (0.0000, 0.0000, 0.0000), Sn at (0.0000, 0.5000, 0.5000) and P at (0.5000, 0.5000, 0.5000).

--- Q ---
The following is a GGA-PBE calculation of a geometry-optimized NbSn3P structure, from the Alexandria database.

The size of the total moment comes out at 3.10 Bohr magnetons per cell. For the density of states at the Fermi level, the calculation gives 3.15 states/eV/f.u. The density is 5.07 g/cm³. Its crystal system is cubic.

It has space group Pm-3m (No. 221), with a = 5.3960 Å, b = 5.3960 Å, c = 5.3960 Å, α = 90.00°, β = 90.00° and γ = 90.00°. Symmetry generates all atoms from Nb at (0.0000, 0.0000, 0.0000), Sn at (0.0000, 0.0000, 0.5000) and P at (0.5000, 0.5000, 0.5000).

Stability, lowest: P

--- P ---
The following is a GGA-PBE calculation of a geometry-optimized SrNbP2 structure, from the Alexandria database.

The size of the total moment comes out at 6.20 Bohr magnetons per cell. For the density of states at the Fermi level, the calculation gives 2.58 states/eV/f.u. The density is 5.14 g/cm³. Its crystal system is cubic.

It has space group Fm-3m (No. 225), with a = 6.7914 Å, b = 6.7914 Å, c = 6.7914 Å, α = 90.00°, β = 90.00° and γ = 90.00°. Symmetry generates all atoms from Sr at (0.0000, 0.0000, 0.0000), Nb at (0.0000, 0.0000, 0.5000) and P at (0.2500, 0.2500, 0.2500).

--- Q ---
The following is a GGA-PBE calculation of a geometry-optimized SrNbP2 structure, from the Alexandria database.

The size of the total moment comes out at 0.60 Bohr magnetons per cell. For the density of states at the Fermi level, the calculation gives 4.70 states/eV/f.u. The density is 3.41 g/cm³. Its crystal system is tetragonal.

It has space group I-42d (No. 122), with a = 6.3007 Å, b = 6.3007 Å, c = 11.9055 Å, α = 90.00°, β = 90.00° and γ = 90.00°. Symmetry generates all atoms from Sr at (0.0000, 0.0000, 0.0000), Nb at (0.0000, 0.0000, 0.5000) and P at (0.1646, 0.2500, 0.6250).

Stability, lowest: P

--- P ---
The following is a GGA-PBE calculation of a geometry-optimized Sr3NbP structure, from the Alexandria database.

The size of the total moment comes out at 5.74 Bohr magnetons per cell. For the density of states at the Fermi level, the calculation gives 1.75 states/eV/f.u. The density is 3.21 g/cm³. Its crystal system is cubic.

It has space group Pm-3m (No. 221), with a = 5.8483 Å, b = 5.8483 Å, c = 5.8483 Å, α = 90.00°, β = 90.00° and γ = 90.00°. Symmetry generates all atoms from Sr at (0.0000, 0.0000, 0.5000), Nb at (0.5000, 0.5000, 0.5000) and P at (0.0000, 0.0000, 0.0000).

--- Q ---
The following is a GGA-PBE calculation of a geometry-optimized Sr3NbP structure, from the Alexandria database.

The size of the total moment comes out at 0.00 Bohr magnetons per cell. For the density of states at the Fermi level, the calculation gives 7.11 states/eV/f.u. The density is 3.57 g/cm³. Its crystal system is cubic.

It has space group Pm-3m (No. 221), with a = 5.6450 Å, b = 5.6450 Å, c = 5.6450 Å, α = 90.00°, β = 90.00° and γ = 90.00°. Symmetry generates all atoms from Sr at (0.0000, 0.0000, 0.5000), Nb at (0.0000, 0.0000, 0.0000) and P at (0.5000, 0.5000, 0.5000).

Stability, lowest: Q

--- P ---
The following is a GGA-PBE calculation of a geometry-optimized TaNb2P structure, from the Alexandria database.

The size of the total moment comes out at 0.00 Bohr magnetons per cell. For the density of states at the Fermi level, the calculation gives 2.29 states/eV/f.u. The density is 8.84 g/cm³. Its crystal system is tetragonal.

It has space group I-42d (No. 122), with a = 7.7638 Å, b = 7.7638 Å, c = 4.9582 Å, α = 90.00°, β = 90.00° and γ = 90.00°. Symmetry generates all atoms from Ta at (0.0000, 0.0000, 0.0000), Nb at (0.1681, 0.2500, 0.6250) and P at (0.0000, 0.0000, 0.5000).

--- Q ---
The following is a GGA-PBE calculation of a geometry-optimized TaNb2P structure, from the Alexandria database.

The size of the total moment comes out at 0.00 Bohr magnetons per cell. For the density of states at the Fermi level, the calculation gives 4.32 states/eV/f.u. The density is 9.96 g/cm³. Its crystal system is cubic.

It has space group Fm-3m (No. 225), with a = 6.4254 Å, b = 6.4254 Å, c = 6.4254 Å, α = 90.00°, β = 90.00° and γ = 90.00°. Symmetry generates all atoms from Ta at (0.0000, 0.0000, 0.0000), Nb at (0.2500, 0.2500, 0.2500) and P at (0.0000, 0.0000, 0.5000).

Stability, lowest: P

--- P ---
The following is a GGA-PBE calculation of a geometry-optimized Ta3NbP structure, from the Alexandria database.

The size of the total moment comes out at 0.00 Bohr magnetons per cell. For the density of states at the Fermi level, the calculation gives 5.46 states/eV/f.u. The density is 9.60 g/cm³. Its crystal system is cubic.

It has space group Pm-3m (No. 221), with a = 4.8670 Å, b = 4.8670 Å, c = 4.8670 Å, α = 90.00°, β = 90.00° and γ = 90.00°. Symmetry generates all atoms from Ta at (0.0000, 0.0000, 0.5000), Nb at (0.0000, 0.0000, 0.0000) and P at (0.5000, 0.5000, 0.5000).

--- Q ---
The following is a GGA-PBE calculation of a geometry-optimized Ta3NbP structure, from the Alexandria database.

The size of the total moment comes out at 0.00 Bohr magnetons per cell. For the density of states at the Fermi level, the calculation gives 4.64 states/eV/f.u. The density is 11.94 g/cm³. Its crystal system is orthorhombic.

It has space group Pmn2_1 (No. 31), with a = 6.5994 Å, b = 5.2434 Å, c = 5.3607 Å, α = 90.00°, β = 90.00° and γ = 90.00°. Symmetry generates all atoms from Ta at (0.0000, 0.1856, 0.0000), Ta at (0.2503, 0.2563, 0.4329), Nb at (0.0000, 0.8148, 0.3672) and P at (0.0000, 0.4998, 0.6829).

Stability, lowest: P

--- P ---
The following is a GGA-PBE calculation of a geometry-optimized TaNbP2 structure, from the Alexandria database.

The size of the total moment comes out at 0.00 Bohr magnetons per cell. For the density of states at the Fermi level, the calculation gives 1.48 states/eV/f.u. The density is 9.24 g/cm³. Its crystal system is cubic.

It has space group Fm-3m (No. 225), with a = 6.2274 Å, b = 6.2274 Å, c = 6.2274 Å, α = 90.00°, β = 90.00° and γ = 90.00°. Symmetry generates all atoms from Ta at (0.0000, 0.0000, 0.0000), Nb at (0.0000, 0.0000, 0.5000) and P at (0.2500, 0.2500, 0.2500).

--- Q ---
The following is a GGA-PBE calculation of a geometry-optimized TaNbP2 structure, from the Alexandria database.

The size of the total moment comes out at 0.00 Bohr magnetons per cell. For the density of states at the Fermi level, the calculation gives 1.95 states/eV/f.u. The density is 8.61 g/cm³. Its crystal system is trigonal.

It has space group R3m (No. 160, hexagonal axes), with a = 3.3882 Å, b = 3.3882 Å, c = 19.5481 Å, α = 90.00°, β = 90.00° and γ = 120.00°. Symmetry generates all atoms from Ta at (0.0000, 0.0000, 0.0000), Nb at (0.0000, 0.0000, 0.8339), P at (0.0000, 0.0000, 0.4171) and P at (0.0000, 0.0000, 0.5834).

Stability, lowest: P